No. 1
Lu2ThTe: relaxed, PBE-GGA.

Results
Volume: 113.9 Å³ per cell
Symmetry: P4/mmm, No. 123
E_form (uncorrected): -518.1 meV/atom

Cell: 3.768 3.768 8.020 Å, 90.00 90.00 90.00°
Fractional positions:
Lu1 0.000 0.000 0.224
Lu2 0.000 0.000 0.776
Th1 0.500 0.500 0.500
Te1 0.500 0.500 0.000

No. 2
LuThTlTe: relaxed, PBE-GGA.

Results
Volume: 111.7 Å³ per cell
Symmetry: F-43m, No. 216
E_form (uncorrected): -480.1 meV/atom

Cell: 5.406 5.406 5.406 Å, 60.00 60.00 60.00°
Fractional positions:
Lu1 0.000 0.000 0.000
Th1 0.500 0.500 0.500
Tl1 0.750 0.750 0.750
Te1 0.250 0.250 0.250

No. 3
LuTiTe: relaxed, PBE-GGA.

Results
Volume: 71.1 Å³ per cell
Symmetry: P-6m2, No. 187
E_form (uncorrected): -284.8 meV/atom

Cell: 4.706 4.706 3.708 Å, 90.00 90.00 120.00°
Fractional positions:
Lu1 0.000 0.000 0.000
Ti1 0.667 0.333 0.500
Te1 0.333 0.667 0.500

No. 4
Lu2TiTe: relaxed, PBE-GGA.

Results
Volume: 97.4 Å³ per cell
Symmetry: P4/mmm, No. 123
E_form (uncorrected): -415.5 meV/atom

Cell: 3.790 3.790 6.783 Å, 90.00 90.00 90.00°
Fractional positions:
Lu1 0.000 0.000 0.243
Lu2 0.000 0.000 0.757
Ti1 0.500 0.500 0.000
Te1 0.500 0.500 0.500

No. 5
LuTlTe2: relaxed, PBE-GGA.

Results
Volume: 136.7 Å³ per cell
Symmetry: R-3m, No. 166
E_form (uncorrected): -1006.3 meV/atom

Cell: 8.571 8.571 8.571 Å, 29.69 29.69 29.69°
Fractional positions:
Lu1 0.000 0.000 0.000
Tl1 0.500 0.500 0.500
Te1 0.264 0.264 0.264
Te2 0.736 0.736 0.736

No. 6
TmLuTe: relaxed, PBE-GGA.

Results
Volume: 87.0 Å³ per cell
Symmetry: P3m1, No. 156
E_form (uncorrected): -424.9 meV/atom

Cell: 5.105 5.105 3.856 Å, 90.00 90.00 120.00°
Fractional positions:
Tm1 0.000 0.000 0.000
Lu1 0.667 0.333 0.500
Te1 0.333 0.667 0.738

No. 7
Tm2LuTe: relaxed, PBE-GGA.

Results
Volume: 129.4 Å³ per cell
Symmetry: R-3m, No. 166
E_form (uncorrected): -134.9 meV/atom

Cell: 11.022 11.022 11.022 Å, 19.41 19.41 19.41°
Fractional positions:
Tm1 0.102 0.102 0.102
Tm2 0.898 0.898 0.898
Lu1 0.000 0.000 0.000
Te1 0.500 0.500 0.500

No. 8
TmLuTe: relaxed, PBE-GGA.

Results
Volume: 82.0 Å³ per cell
Symmetry: I4mm, No. 107
E_form (uncorrected): -738.9 meV/atom

Cell: 6.290 6.290 6.290 Å, 144.87 144.87 50.53°
Fractional positions:
Tm1 0.000 0.000 0.000
Lu1 0.316 0.316 0.000
Te1 0.660 0.660 0.000